1.
A relaxed structure of SnPtSO. Source: OQMD via LeMat-Bulk, functional GGA-PBE. Values from VASP.

Calculated values
E, eV/atom: -5.05
M_tot, μB per atom: 0.000
ΔE to the lowest computed polymorph, meV per atom: 437
Space group: P4/nmm (129)
Theoretical density, g/cm³: 7.558

Quantum ESPRESSO input file:
```
&SYSTEM
  ibrav = 0, nat = 8, ntyp = 4
/
ATOMIC_SPECIES
Pt 195.08 Pt.upf
S 32.06 S.upf
Sn 118.71 Sn.upf
O 16.00 O.upf
ATOMIC_POSITIONS crystal
Pt 0.750 0.750 0.401
S 0.250 0.750 0.500
Sn 0.750 0.750 0.860
Pt 0.250 0.250 0.599
O 0.750 0.750 0.099
S 0.750 0.250 0.500
Sn 0.250 0.250 0.140
O 0.250 0.250 0.901
CELL_PARAMETERS angstrom
-0.067 4.081 -1.559
-4.089 0.490 1.459
2.930 2.824 7.267
```



2.
A relaxed structure of Na4PdPb2Au. Source: OQMD via LeMat-Bulk, functional GGA-PBE. Values from VASP.

Calculated values
E, eV/atom: -2.85
Space group: P-4m2 (115)
Theoretical density, g/cm³: 7.593

Quantum ESPRESSO input file:
```
&SYSTEM
  ibrav = 0, nat = 8, ntyp = 4
/
ATOMIC_SPECIES
Na 22.99 Na.upf
Au 196.97 Au.upf
Pd 106.42 Pd.upf
Pb 207.20 Pb.upf
ATOMIC_POSITIONS crystal
Na 0.500 0.000 0.251
Na 0.000 0.000 0.500
Au 0.000 0.000 0.000
Na 0.000 0.500 0.749
Pd 0.500 0.500 0.500
Pb 0.500 0.000 0.738
Pb 0.000 0.500 0.262
Na 0.500 0.500 0.000
CELL_PARAMETERS angstrom
5.000 0.000 0.000
0.000 5.000 0.000
0.000 0.000 7.084
```



3.
A relaxed structure of GdSe2. Source: OQMD via LeMat-Bulk, functional GGA-PBE. Values from VASP.

Calculated values
E, eV/atom: -4.08
M_tot, μB per atom: 0.049
Space group: Fd-3m (227)
Theoretical density, g/cm³: 7.406

Quantum ESPRESSO input file:
```
&SYSTEM
  ibrav = 0, nat = 6, ntyp = 2
/
ATOMIC_SPECIES
Se 78.96 Se.upf
Gd 157.25 Gd.upf
ATOMIC_POSITIONS crystal
Se 0.625 0.625 0.625
Gd 0.250 0.250 0.250
Se 0.625 0.625 0.125
Gd 0.000 0.000 0.000
Se 0.125 0.625 0.625
Se 0.625 0.125 0.625
CELL_PARAMETERS angstrom
4.597 -3.606 0.219
-0.639 -5.640 -1.400
2.332 -2.067 -4.947
```



4.
A relaxed structure of Y5Ge10Ir4. Source: OQMD via LeMat-Bulk, functional GGA-PBE. Values from VASP.

Calculated values
E, eV/atom: -6.78
M_tot, μB per atom: 0.000
Space group: P4/mbm (127)
Theoretical density, g/cm³: 8.724

Quantum ESPRESSO input file:
```
&SYSTEM
  ibrav = 0, nat = 38, ntyp = 3
/
ATOMIC_SPECIES
Ge 72.64 Ge.upf
Y 88.91 Y.upf
Ir 192.22 Ir.upf
ATOMIC_POSITIONS crystal
Ge 0.933 0.433 0.000
Ge 0.844 0.994 0.500
Ge 0.156 0.006 0.500
Ge 0.200 0.837 0.000
Ge 0.344 0.506 0.500
Ge 0.067 0.567 0.000
Y 0.615 0.115 0.500
Y 0.885 0.615 0.500
Ge 0.163 0.200 0.000
Y 0.000 0.000 0.000
Ge 0.567 0.933 0.000
Ir 0.980 0.246 0.000
Y 0.500 0.500 0.000
Ge 0.337 0.700 0.000
Ge 0.506 0.656 0.500
Ge 0.994 0.156 0.500
Ir 0.480 0.254 0.000
Y 0.174 0.674 0.500
Ge 0.433 0.067 0.000
Ir 0.754 0.980 0.000
Ir 0.246 0.020 0.000
Ge 0.494 0.344 0.500
Ir 0.746 0.480 0.000
Ge 0.837 0.800 0.000
Ge 0.663 0.300 0.000
Y 0.115 0.385 0.500
Ge 0.656 0.494 0.500
Y 0.326 0.174 0.500
Y 0.385 0.885 0.500
Ir 0.254 0.520 0.000
Ir 0.020 0.754 0.000
Ge 0.800 0.163 0.000
Y 0.674 0.826 0.500
Ge 0.006 0.844 0.500
Ge 0.700 0.663 0.000
Ge 0.300 0.337 0.000
Y 0.826 0.326 0.500
Ir 0.520 0.746 0.000
CELL_PARAMETERS angstrom
-6.999 10.851 -1.849
-10.036 -5.391 6.352
1.504 1.608 3.741
```



5.
A relaxed structure of Ho2TmGa3AgIr2. Source: OQMD via LeMat-Bulk, functional GGA-PBE. Values from VASP.

Calculated values
E, eV/atom: -5.53
M_tot, μB per atom: 0.001
Space group: Amm2 (38)
Theoretical density, g/cm³: 11.299

Quantum ESPRESSO input file:
```
&SYSTEM
  ibrav = 0, nat = 9, ntyp = 5
/
ATOMIC_SPECIES
Ag 107.87 Ag.upf
Ir 192.22 Ir.upf
Ho 164.93 Ho.upf
Ga 69.72 Ga.upf
Tm 168.93 Tm.upf
ATOMIC_POSITIONS crystal
Ag 0.000 0.998 0.998
Ir 0.500 0.335 0.666
Ho 0.000 0.000 0.410
Ga 0.500 0.728 0.000
Tm 0.000 0.590 0.590
Ir 0.500 0.666 0.335
Ho 0.000 0.410 0.000
Ga 0.500 0.272 0.272
Ga 0.500 0.000 0.728
CELL_PARAMETERS angstrom
3.839 0.000 0.000
0.000 6.287 3.654
0.000 -6.287 3.654
```



6.
A relaxed structure of Lu2OsPb. Source: OQMD via LeMat-Bulk, functional GGA-PBE. Values from VASP.

Calculated values
E, eV/atom: -5.98
M_tot, μB per atom: 0.000
Space group: F-43m (216)
Theoretical density, g/cm³: 14.792

Quantum ESPRESSO input file:
```
&SYSTEM
  ibrav = 0, nat = 4, ntyp = 3
/
ATOMIC_SPECIES
Pb 207.20 Pb.upf
Os 190.23 Os.upf
Lu 174.97 Lu.upf
ATOMIC_POSITIONS crystal
Pb 0.500 0.500 0.500
Os 0.250 0.250 0.250
Lu 0.000 0.000 0.000
Lu 0.750 0.750 0.750
CELL_PARAMETERS angstrom
0.000 3.475 3.475
3.475 0.000 3.475
3.475 3.475 0.000
```



7.
A relaxed structure of YPIrO. Source: OQMD via LeMat-Bulk, functional GGA-PBE. Values from VASP.

Calculated values
E, eV/atom: -7.70
M_tot, μB per atom: 0.000
ΔE to the lowest computed polymorph, meV per atom: 667
Space group: Pmc2_1 (26)
Theoretical density, g/cm³: 8.102

Quantum ESPRESSO input file:
```
&SYSTEM
  ibrav = 0, nat = 8, ntyp = 4
/
ATOMIC_SPECIES
Y 88.91 Y.upf
O 16.00 O.upf
Ir 192.22 Ir.upf
P 30.97 P.upf
ATOMIC_POSITIONS crystal
Y 0.500 0.209 0.975
Y 0.500 0.791 0.475
O 0.000 0.947 0.341
Ir 0.000 0.220 0.471
O 0.000 0.053 0.841
P 0.500 0.417 0.467
P 0.500 0.583 0.967
Ir 0.000 0.780 0.971
CELL_PARAMETERS angstrom
3.391 0.000 0.000
0.000 7.577 0.000
0.000 0.000 5.234
```



8.
A relaxed structure of GdEr3Sc2Te2Os. Source: OQMD via LeMat-Bulk, functional GGA-PBE. Values from VASP.

Calculated values
E, eV/atom: -6.12
M_tot, μB per atom: 0.005
Space group: Amm2 (38)
Theoretical density, g/cm³: 8.861

Quantum ESPRESSO input file:
```
&SYSTEM
  ibrav = 0, nat = 9, ntyp = 5
/
ATOMIC_SPECIES
Te 127.60 Te.upf
Sc 44.96 Sc.upf
Os 190.23 Os.upf
Gd 157.25 Gd.upf
Er 167.26 Er.upf
ATOMIC_POSITIONS crystal
Te 0.500 0.675 0.334
Sc 0.500 0.003 0.766
Sc 0.500 0.766 0.003
Os 0.000 0.976 0.976
Gd 0.500 0.237 0.237
Er 0.000 0.000 0.393
Er 0.000 0.393 0.000
Er 0.000 0.617 0.617
Te 0.500 0.334 0.675
CELL_PARAMETERS angstrom
3.994 0.000 0.000
0.000 7.010 3.997
0.000 -7.010 3.997
```



9.
A relaxed structure of Ta2TcW. Source: OQMD via LeMat-Bulk, functional GGA-PBE. Values from VASP.

Calculated values
E, eV/atom: -11.92
M_tot, μB per atom: 0.000
Space group: F-43m (216)
Theoretical density, g/cm³: 16.153

Quantum ESPRESSO input file:
```
&SYSTEM
  ibrav = 0, nat = 4, ntyp = 3
/
ATOMIC_SPECIES
Ta 180.95 Ta.upf
Tc 98.00 Tc.upf
W 183.84 W.upf
ATOMIC_POSITIONS crystal
Ta 0.500 0.500 0.500
Tc 0.000 0.000 0.000
W 0.750 0.750 0.750
Ta 0.250 0.250 0.250
CELL_PARAMETERS angstrom
-1.991 3.224 2.501
-0.302 4.243 -1.588
-4.031 1.675 -1.247
```



10.
A relaxed structure of MgNiSb. Source: OQMD via LeMat-Bulk, functional GGA-PBE. Values from VASP.

Calculated values
E, eV/atom: -4.01
M_tot, μB per atom: 0.001
Space group: Pnma (62)
Theoretical density, g/cm³: 6.160

Quantum ESPRESSO input file:
```
&SYSTEM
  ibrav = 0, nat = 12, ntyp = 3
/
ATOMIC_SPECIES
Sb 121.76 Sb.upf
Mg 24.30 Mg.upf
Ni 58.69 Ni.upf
ATOMIC_POSITIONS crystal
Sb 0.751 0.750 0.373
Mg 0.247 0.750 0.859
Mg 0.753 0.250 0.141
Mg 0.253 0.250 0.359
Ni 0.249 0.750 0.495
Sb 0.251 0.750 0.127
Sb 0.249 0.250 0.627
Ni 0.751 0.250 0.505
Ni 0.251 0.250 0.995
Mg 0.747 0.750 0.641
Ni 0.749 0.750 0.005
Sb 0.749 0.250 0.873
CELL_PARAMETERS angstrom
4.252 0.000 0.000
0.000 4.173 0.000
0.000 0.000 12.442
```



11.
A relaxed structure of PrAgPd. Source: OQMD via LeMat-Bulk, functional GGA-PBE. Values from VASP.

Calculated values
E, eV/atom: -4.85
M_tot, μB per atom: 0.000
ΔE to the lowest computed polymorph, meV per atom: 0
Space group: Pnma (62)
Theoretical density, g/cm³: 8.777

Quantum ESPRESSO input file:
```
&SYSTEM
  ibrav = 0, nat = 12, ntyp = 3
/
ATOMIC_SPECIES
Pd 106.42 Pd.upf
Ag 107.87 Ag.upf
Pr 140.91 Pr.upf
ATOMIC_POSITIONS crystal
Pd 0.234 0.250 0.624
Ag 0.625 0.250 0.562
Pd 0.766 0.750 0.376
Pd 0.266 0.750 0.124
Ag 0.375 0.750 0.438
Pr 0.942 0.750 0.690
Pr 0.058 0.250 0.310
Pd 0.734 0.250 0.876
Ag 0.875 0.750 0.062
Pr 0.442 0.750 0.810
Pr 0.558 0.250 0.190
Ag 0.125 0.250 0.938
CELL_PARAMETERS angstrom
7.373 0.000 0.000
0.000 4.163 0.000
0.000 0.000 8.758
```



12.
A relaxed structure of K2NdDy2Mg3Cd. Source: OQMD via LeMat-Bulk, functional GGA-PBE. Values from VASP.

Calculated values
E, eV/atom: -2.02
M_tot, μB per atom: 0.008
Space group: Amm2 (38)
Theoretical density, g/cm³: 4.249

Quantum ESPRESSO input file:
```
&SYSTEM
  ibrav = 0, nat = 9, ntyp = 5
/
ATOMIC_SPECIES
K 39.10 K.upf
Mg 24.30 Mg.upf
Dy 162.50 Dy.upf
Nd 144.24 Nd.upf
Cd 112.41 Cd.upf
ATOMIC_POSITIONS crystal
K 0.500 0.671 0.337
Mg 0.500 0.213 0.997
Dy 0.000 0.628 0.007
Dy 0.000 0.007 0.628
Nd 0.000 0.375 0.375
Mg 0.500 0.782 0.782
Cd 0.000 0.991 0.991
Mg 0.500 0.997 0.213
K 0.500 0.337 0.671
CELL_PARAMETERS angstrom
-3.455 -1.318 3.168
3.833 -7.227 1.173
1.826 6.540 4.712
```



13.
A relaxed structure of CuNiW. Source: OQMD via LeMat-Bulk, functional GGA-PBE. Values from VASP.

Calculated values
E, eV/atom: -7.32
M_tot, μB per atom: 0.000
ΔE to the lowest computed polymorph, meV per atom: 0
Space group: Pnma (62)
Theoretical density, g/cm³: 13.397

Quantum ESPRESSO input file:
```
&SYSTEM
  ibrav = 0, nat = 12, ntyp = 3
/
ATOMIC_SPECIES
Ni 58.69 Ni.upf
Cu 63.55 Cu.upf
W 183.84 W.upf
ATOMIC_POSITIONS crystal
Ni 0.742 0.750 0.416
Ni 0.758 0.250 0.916
Cu 0.742 0.750 0.083
Cu 0.258 0.250 0.917
Ni 0.242 0.750 0.084
Ni 0.258 0.250 0.584
W 0.004 0.750 0.751
W 0.496 0.250 0.251
W 0.996 0.250 0.249
W 0.504 0.750 0.749
Cu 0.242 0.750 0.417
Cu 0.758 0.250 0.583
CELL_PARAMETERS angstrom
5.093 0.000 0.000
0.000 4.146 0.000
0.000 0.000 7.187
```



14.
A relaxed structure of TmUFe2. Source: OQMD via LeMat-Bulk, functional GGA-PBE. Values from VASP.

Calculated values
E, eV/atom: -8.26
M_tot, μB per atom: 0.001
Space group: Pnma (62)
Theoretical density, g/cm³: 12.064

Quantum ESPRESSO input file:
```
&SYSTEM
  ibrav = 0, nat = 16, ntyp = 3
/
ATOMIC_SPECIES
Fe 55.84 Fe.upf
Tm 168.93 Tm.upf
U 238.03 U.upf
ATOMIC_POSITIONS crystal
Fe 0.889 0.750 0.148
Tm 0.854 0.750 0.853
Fe 0.231 0.250 0.460
U 0.016 0.250 0.632
Fe 0.389 0.750 0.352
Fe 0.111 0.250 0.852
Fe 0.269 0.750 0.960
U 0.984 0.750 0.368
U 0.516 0.250 0.868
Fe 0.769 0.750 0.540
Tm 0.646 0.250 0.353
Tm 0.354 0.750 0.647
Tm 0.146 0.250 0.147
Fe 0.611 0.250 0.648
U 0.484 0.750 0.132
Fe 0.731 0.250 0.040
CELL_PARAMETERS angstrom
6.315 0.000 0.000
0.000 4.812 0.000
0.000 0.000 9.399
```



15.
A relaxed structure of InAg3MoS4. Source: OQMD via LeMat-Bulk, functional GGA-PBE. Values from VASP.

Calculated values
E, eV/atom: -4.43
M_tot, μB per atom: 0.222
Space group: P-43m (215)
Theoretical density, g/cm³: 4.648

Quantum ESPRESSO input file:
```
&SYSTEM
  ibrav = 0, nat = 9, ntyp = 4
/
ATOMIC_SPECIES
Ag 107.87 Ag.upf
Mo 95.94 Mo.upf
S 32.06 S.upf
In 114.82 In.upf
ATOMIC_POSITIONS crystal
Ag 0.500 0.500 0.000
Mo 0.500 0.500 0.500
Ag 0.000 0.500 0.500
Ag 0.500 0.000 0.500
S 0.281 0.281 0.281
S 0.281 0.719 0.719
S 0.719 0.719 0.281
S 0.719 0.281 0.719
In 0.000 0.000 0.000
CELL_PARAMETERS angstrom
-3.706 -2.299 4.387
-4.339 -1.135 -4.260
2.389 -5.629 -0.933
```



16.
A relaxed structure of NaAg3PbO4. Source: OQMD via LeMat-Bulk, functional GGA-PBE. Values from VASP.

Calculated values
E, eV/atom: -3.92
Space group: P-43m (215)
Theoretical density, g/cm³: 5.634

Quantum ESPRESSO input file:
```
&SYSTEM
  ibrav = 0, nat = 9, ntyp = 4
/
ATOMIC_SPECIES
Na 22.99 Na.upf
Ag 107.87 Ag.upf
Pb 207.20 Pb.upf
O 16.00 O.upf
ATOMIC_POSITIONS crystal
Na 0.000 0.000 0.000
Ag 0.000 0.500 0.500
Pb 0.500 0.500 0.500
Ag 0.500 0.000 0.500
O 0.721 0.721 0.279
O 0.721 0.279 0.721
O 0.279 0.279 0.279
Ag 0.500 0.500 0.000
O 0.279 0.721 0.721
CELL_PARAMETERS angstrom
5.668 0.000 0.000
0.000 5.668 0.000
0.000 0.000 5.668
```



17.
A relaxed structure of Hf4GaCo. Source: OQMD via LeMat-Bulk, functional GGA-PBE. Values from VASP.

Calculated values
E, eV/atom: -8.63
M_tot, μB per atom: 0.000
Space group: I422 (97)
Theoretical density, g/cm³: 12.567

Quantum ESPRESSO input file:
```
&SYSTEM
  ibrav = 0, nat = 6, ntyp = 3
/
ATOMIC_SPECIES
Hf 178.49 Hf.upf
Co 58.93 Co.upf
Ga 69.72 Ga.upf
ATOMIC_POSITIONS crystal
Hf 0.910 0.090 0.500
Co 0.500 0.500 0.000
Hf 0.590 0.410 0.500
Hf 0.090 0.590 0.179
Ga 0.000 0.000 0.000
Hf 0.410 0.910 0.821
CELL_PARAMETERS angstrom
-3.265 3.265 2.612
3.265 -3.265 2.612
3.265 3.265 -2.612
```